First-principles (PBE) data for a relaxed structure of RbSnHgTe2, as listed in the Alexandria database.

Unit cell a=5.940 b=5.940 c=5.740 alpha=90.00 beta=90.00 gamma=90.00
Atoms (fractional coordinates):
Te (0.500, 0.000, 0.000)
Hg (0.000, 0.000, 0.500)
Te (0.000, 0.500, 0.000)
Rb (0.500, 0.500, 0.500)
Sn (0.000, 0.000, 0.000)

Output
Formation energy (no corrections)   -311 meV/atom
Total magnetization   0.0 μB/f.u.
DFT total energy   -2.622 eV/atom
DOS(E_F)   0.506 states/eV per atom
SG   P4/mmm, No. 123